1.
Computed, not measured: a geometry-optimized AgBiRh3 structure at the PBE level of DFT.

CIF file:
```
data_AgBiRh3
_chemical_formula_sum 'Ag1 Bi1 Rh3'
_cell_length_a 4.9681
_cell_length_b 4.9681
_cell_length_c 4.9681
_cell_angle_alpha 90.00
_cell_angle_beta 90.00
_cell_angle_gamma 90.00
_symmetry_space_group_name_H-M 'P m -3 m'
_symmetry_Int_Tables_number 221
_symmetry_space_group_name_Hall '-P 4 2 3'
loop_
_atom_site_label
_atom_site_fract_x
_atom_site_fract_y
_atom_site_fract_z
Ag1 0.0000 0.0000 0.0000
Bi1 0.5000 0.5000 0.5000
Rh1 0.0000 0.5000 0.5000
```

Properties
polymorph energy (0 for the lowest one) = 0 meV per atom
energy of formation = 1250.8 meV/atom
calculated density = 8.5 g cm⁻³
DOS at the Fermi energy = 5.6 states/eV/f.u.
spin magnetization = 0.7 Bohr magnetons per cell

***

2.
Computed, not measured: a geometry-optimized NaBiCl3 structure at the PBE level of DFT.

CIF file:
```
data_NaBiCl3
_chemical_formula_sum 'Na2 Bi2 Cl6'
_cell_length_a 5.4737
_cell_length_b 7.7420
_cell_length_c 8.9100
_cell_angle_alpha 70.77
_cell_angle_beta 72.33
_cell_angle_gamma 69.32
_symmetry_space_group_name_H-M 'P -1'
_symmetry_Int_Tables_number 2
loop_
_symmetry_equiv_pos_as_xyz
'x,y,z'
'-x,-y,-z'
loop_
_atom_site_label
_atom_site_fract_x
_atom_site_fract_y
_atom_site_fract_z
Na1 0.1761 0.2304 0.4178
Bi1 0.1193 0.7856 0.9792
Cl1 0.0381 0.6360 0.2984
Cl2 0.2478 0.8646 0.6405
Cl3 0.3472 0.2489 0.0521
```

Properties
polymorph energy (0 for the lowest one) = 0 meV per atom
calculated density = 3.4 g cm⁻³
E_form (uncorrected) = -6.03 eV per formula unit
spin magnetization = 0.0 Bohr magnetons per cell

***

3.
Computed, not measured: a geometry-optimized DyHo4 structure at the PBE level of DFT.

CIF file:
```
data_DyHo4
_chemical_formula_sum 'Dy2 Ho8'
_cell_length_a 4.4612
_cell_length_b 4.4612
_cell_length_c 16.5479
_cell_angle_alpha 90.00
_cell_angle_beta 90.00
_cell_angle_gamma 90.00
_symmetry_space_group_name_H-M 'I 4/m m m'
_symmetry_Int_Tables_number 139
_symmetry_space_group_name_Hall '-I 4 2'
loop_
_atom_site_label
_atom_site_fract_x
_atom_site_fract_y
_atom_site_fract_z
Dy1 0.0000 0.0000 0.0000
Ho1 0.0000 0.0000 0.4061
Ho2 0.0000 0.5000 0.2500
```

Properties
polymorph energy (0 for the lowest one) = 353 meV per atom
energy of formation = 373.7 meV/atom
calculated density = 8.3 g cm⁻³
DOS at the Fermi energy = 8.4 states/eV/f.u.
spin magnetization = 0.8 Bohr magnetons per cell

***

Number 1: volume 24.5 A^3/atom. Number 2: volume 32.6 A^3/atom. Number 3: volume 32.9 A^3/atom.